The following is a PBE-GGA calculation of crystalline NaHf2Cu at its relaxed geometry, from Alexandria.

a b c (Å): 4.0558 4.0558 10.9214
angles (deg): 79.30 79.30 90.00
Last column: nearest neighbours and their distance in Å.
Fractional positions:
Cu (0.7500, 0.2500, 0.5000)  4 Na 2.87, 4 Hf 2.98
Cu (0.0000, 0.0000, 0.0000)  4 Na 2.87, 4 Hf 2.98
Hf (0.6376, 0.1250, 0.2500)  4 Hf 2.80-2.94, 2 Cu 2.98, 2 Na 3.02
Hf (0.1124, 0.6250, 0.2500)  4 Hf 2.80-2.94, 2 Cu 2.98, 2 Na 3.02
Hf (0.3750, 0.3624, 0.7500)  4 Hf 2.80-2.94, 2 Cu 2.98, 2 Na 3.02
Hf (0.8750, 0.8876, 0.7500)  4 Hf 2.80-2.94, 2 Cu 2.98, 2 Na 3.02
Na (0.5000, 0.5000, 0.0000)  4 Cu 2.87, 4 Hf 3.02
Na (0.2500, 0.7500, 0.5000)  4 Cu 2.87, 4 Hf 3.02

Output
Calculated formation energy: 813 meV/atom
Offset from the most stable computed form: 0.264 eV per atom
Space-group type: No. 122
Fermi-level density of states: 8.08 states/eV/cell